Record 1
## SrV3Ru (GGA-PBE)

Data for SrV3Ru after structural relaxation.

Cell: 4.4404 4.4404 4.4404 Å, 90.00 90.00 90.00°
Space group Pm-3m (No. 221)
Unique sites:
Sr 0.0000 0.0000 0.0000 (multiplicity 1)
V 0.0000 0.0000 0.5000 (multiplicity 3)
Ru 0.5000 0.5000 0.5000 (multiplicity 1)

## Properties
E above lowest polymorph: 1.838 eV/atom

=====

Record 2
## SrZrVRu2 (GGA-PBE)

Data for SrZrVRu2 after structural relaxation.

Cell: 4.7717 4.7717 4.6528 Å, 90.00 90.00 90.00°
Space group P4/mmm (No. 123)
Unique sites:
Sr 0.0000 0.0000 0.0000 (multiplicity 1)
Zr 0.5000 0.5000 0.5000 (multiplicity 1)
V 0.0000 0.0000 0.5000 (multiplicity 1)
Ru 0.0000 0.5000 0.0000 (multiplicity 2)

=====

Record 3
## SrRuW4 (GGA-PBE)

Data for SrRuW4 after structural relaxation.

Cell: 7.6619 7.6619 7.6619 Å, 90.00 90.00 90.00°
Space group F-43m (No. 216)
Unique sites:
Sr 0.0000 0.0000 0.0000 (multiplicity 4)
Ru 0.2500 0.2500 0.2500 (multiplicity 4)
W 0.1254 0.1254 0.6254 (multiplicity 16)

=====

Record 4
## Sr3RuW (GGA-PBE)

Data for Sr3RuW after structural relaxation.

Cell: 5.6066 5.6066 5.6066 Å, 90.00 90.00 90.00°
Space group Pm-3m (No. 221)
Unique sites:
Sr 0.0000 0.0000 0.5000 (multiplicity 3)
Ru 0.0000 0.0000 0.0000 (multiplicity 1)
W 0.5000 0.5000 0.5000 (multiplicity 1)

=====

So what do the calculations give for energy? Going down the list: -5.087 -5.563 -9.658 -4.152 eV/atom.